Material: LiMo2SBr
Method: DFT, GGA-PBE
State: relaxed

```
5
Lattice="4.408 0.000 0.000 0.000 7.114 0.000 0.000 0.000 4.408" Properties=species:S:1:pos:R:3 pbc="T T T"
S 0.000 0.000 0.000
Mo 0.000 0.000 2.204
Br 0.000 3.557 0.000
Li 2.204 3.557 2.204
Mo 2.204 0.000 0.000
```

Output
E_tot, eV/atom: -5.271
Formation energy from raw total energies, kJ/mol of formula units: 292
Magnetic moment, Bohr magnetons per cell: 2.42
Space-group type: P4/mmm
Density, g/cm³: 3.7